No. 1
## PmGd2Br (PBE-GGA)

Data for a relaxed structure of PmGd2Br.

Calculated values
The value obtained for the energy above the most stable polymorph in this dataset is 91 meV per atom.

Cell and atoms, written as CIF:
```
data_PmGd2Br
_cell_length_a 3.580
_cell_length_b 3.580
_cell_length_c 9.641
_cell_angle_alpha 90.00
_cell_angle_beta 90.00
_cell_angle_gamma 90.00
_symmetry_space_group_name_H-M 'P 4/m m m'
_symmetry_Int_Tables_number 123
_symmetry_space_group_name_Hall '-P 4 2'
loop_
_atom_site_label
_atom_site_fract_x
_atom_site_fract_y
_atom_site_fract_z
_atom_site_occupancy
Pm1 0.000 0.000 0.000 1
Gd1 0.500 0.500 0.263 1
Br1 0.000 0.000 0.500 1
```


No. 2
## PmGdSbBr (PBE-GGA)

Data for a relaxed structure of PmGdSbBr.

Cell and atoms, written as CIF:
```
data_PmGdSbBr
_cell_length_a 7.577
_cell_length_b 7.577
_cell_length_c 7.577
_cell_angle_alpha 90.00
_cell_angle_beta 90.00
_cell_angle_gamma 90.00
_symmetry_space_group_name_H-M 'F -4 3 m'
_symmetry_Int_Tables_number 216
_symmetry_space_group_name_Hall 'F -4 2 3'
loop_
_atom_site_label
_atom_site_fract_x
_atom_site_fract_y
_atom_site_fract_z
_atom_site_occupancy
Pm1 0.000 0.000 0.000 1
Gd1 0.000 0.000 0.500 1
Sb1 0.250 0.250 0.250 1
Br1 0.250 0.250 0.750 1
```


In order of appearance, total magnetization = 14.7; 8.1 μB per formula unit.
In order of appearance, V = 30.89; 27.19 A^3/atom.
In order of appearance, energy relative to the elements, uncorrected = -0.457; -1.083 eV/atom.